Entry 1:
Material: Cd3Ag
Method: DFT, GGA-PBEsol
State: optimized geometry

Cell lengths 4.760, 4.760, 4.760 Å; angles 60.00, 60.00, 60.00 degrees
Element x y z (fractional)
1 Cd 0.250 0.250 0.250
2 Cd 0.500 0.500 0.500
3 Cd 0.750 0.750 0.750
4 Ag 0.000 0.000 0.000

- total magnetic moment (μB/atom) = 0.00
- calculated formation energy (kJ/mol of formula units) = -1
- space-group type = Fm-3m, No. 225
- calculated volume (Å³ per atom) = 19.07


Entry 2:
Material: NaBH4O4
Method: DFT, GGA-PBEsol
State: optimized geometry

Cell lengths 5.910, 6.151, 10.119 Å; angles 90.00, 90.00, 113.41 degrees
Element x y z (fractional)
1 O 0.299 0.683 0.947
2 B 0.229 0.271 0.589
3 H 0.339 0.500 0.752
4 H 0.082 0.034 0.383
5 H 0.839 0.500 0.748
6 Na 0.249 0.761 0.518
7 H 0.071 0.862 0.200
8 O 0.020 0.862 0.356
9 O 0.201 0.317 0.447
10 Na 0.251 0.239 0.018
11 H 0.918 0.966 0.617
12 O 0.799 0.683 0.553
13 H 0.582 0.034 0.117
14 O 0.837 0.508 0.845
15 Na 0.751 0.239 0.482
16 O 0.163 0.492 0.155
17 B 0.729 0.271 0.911
18 O 0.389 0.142 0.603
19 H 0.571 0.862 0.300
20 H 0.429 0.138 0.700
21 H 0.132 0.619 0.903
22 O 0.701 0.317 0.053
23 B 0.271 0.729 0.089
24 H 0.868 0.381 0.097
25 O 0.111 0.858 0.103
26 O 0.980 0.138 0.644
27 O 0.520 0.862 0.144
28 H 0.161 0.500 0.252
29 B 0.771 0.729 0.411
30 Na 0.749 0.761 0.982
31 H 0.929 0.138 0.800
32 H 0.418 0.966 0.883
33 O 0.611 0.858 0.397
34 H 0.661 0.500 0.248
35 O 0.480 0.138 0.856
36 O 0.663 0.492 0.345
37 H 0.632 0.619 0.597
38 O 0.337 0.508 0.655
39 H 0.368 0.381 0.403
40 O 0.889 0.142 0.897

- total magnetic moment (μB/atom) = 0.00
- E (Ry per atom) = -0.42875
- space-group type = P2_1/c, No. 14
- calculated volume (Å³ per atom) = 8.44


Entry 3:
Material: FeBiBr2
Method: DFT, GGA-PBEsol
State: optimized geometry

Cell lengths 3.439, 3.439, 10.164 Å; angles 80.26, 80.26, 60.00 degrees
Element x y z (fractional)
1 Br 0.877 0.877 0.368
2 Br 0.123 0.123 0.632
3 Fe 0.500 0.500 0.500
4 Bi 0.000 0.000 0.000

- formation energy (no corrections) (eV/f.u.) = 0.2
- total magnetic moment (μB/atom) = 0.00
- space-group type = R-3m, No. 166
- calculated volume (Å³ per atom) = 25.52


Entry 4:
Material: BaZnAg
Method: DFT, GGA-PBEsol
State: optimized geometry

Cell lengths 4.454, 4.633, 4.633 Å; angles 120.00, 90.00, 90.00 degrees
Element x y z (fractional)
1 Ag 0.500 0.000 0.000
2 Zn 0.500 0.667 0.333
3 Ba 0.000 0.333 0.667

- total magnetic moment (μB/atom) = 0.00
- calculated formation energy (kJ/mol of formula units) = -59
- space-group type = P-6m2, No. 187
- calculated volume (Å³ per atom) = 27.60


Entry 5:
Material: LaGa3F
Method: DFT, GGA-PBEsol
State: optimized geometry

Cell lengths 4.636, 4.636, 4.636 Å; angles 90.00, 90.00, 90.00 degrees
Element x y z (fractional)
1 La 0.500 0.500 0.500
2 Ga 0.000 0.500 0.000
3 F 0.000 0.000 0.000
4 Ga 0.500 0.000 0.000
5 Ga 0.000 0.000 0.500

- formation energy (no corrections) (eV/f.u.) = -3.8
- total magnetic moment (μB/atom) = 0.00
- space-group type = Pm-3m, No. 221
- calculated volume (Å³ per atom) = 19.93


Entry 6:
Material: Sc2TaCr
Method: DFT, GGA-PBEsol
State: optimized geometry

Cell lengths 4.750, 4.750, 4.750 Å; angles 60.00, 60.00, 60.00 degrees
Last column: magnetic moment on the atom in μB.
Element x y z (fractional)
1 Cr 0.000 0.000 0.000  2.94
2 Ta 0.500 0.500 0.500  -1.30
3 Sc 0.750 0.750 0.750  -0.28
4 Sc 0.250 0.250 0.250  -0.28

- total magnetic moment (μB/atom) = 0.18
- energy relative to the lowest polymorph listed for this composition (meV/atom) = 267
- calculated formation energy (kJ/mol of formula units) = 184
- space-group type = Fm-3m, No. 225
- calculated volume (Å³ per atom) = 18.94


The evaluated theoretical density for the records listed, in turn: 9.69 2.00 6.91 6.23 6.12 7.08 g cm⁻³.